LiMnPdO3 after structural relaxation. Source: Alexandria, functional PBE+U.

It has space group Cmcm (No. 63), with a = 5.262 Å, b = 9.576 Å, c = 5.566 Å, α = 90.00°, β = 90.00° and γ = 90.00°. The inequivalent atoms are Li at (0.000, 0.096, 0.250), Mn at (0.000, 0.182, 0.750), Pd at (0.000, 0.493, 0.750), O at (0.000, 0.283, 0.250) and O at (0.223, 0.000, 0.000).

The value obtained for the total energy is -135.4 eV for the cell shown.